A relaxed Mg2WSeCl crystal. Source: the Alexandria database, functional GGA-PBE.

```
5
Lattice="-3.257 -4.247 -0.285 2.202 -1.432 -3.818 3.411 -2.819 3.024" Properties=species:S:1:pos:R:3 pbc="T T T"
Mg 1.706 -1.410 1.512
Mg -1.629 -2.124 -0.143
Se 0.000 0.000 0.000
W 1.101 -0.716 -1.909
Cl 1.178 -4.249 -0.540
```

Calculated values
SG: P4/mmm
ΔE_f (raw), eV per atom: 0.6482